Record 1
The following is a DFT calculation (GGA-PBE) of a relaxed Gd3Sb3W2N12 crystal.

Cell: 11.166 11.166 11.166 Å, 109.47 109.47 109.47°
Fractional coordinates of all 80 atoms:
Gd (0.125, 0.250, 0.375)
Gd (0.125, 0.375, 0.750)
Gd (0.250, 0.375, 0.125)
Gd (0.250, 0.875, 0.625)
Gd (0.375, 0.125, 0.250)
Gd (0.375, 0.750, 0.125)
Gd (0.625, 0.250, 0.875)
Gd (0.625, 0.875, 0.750)
Gd (0.750, 0.125, 0.375)
Gd (0.750, 0.625, 0.875)
Gd (0.875, 0.625, 0.250)
Gd (0.875, 0.750, 0.625)
Sb (0.125, 0.750, 0.875)
Sb (0.125, 0.875, 0.250)
Sb (0.250, 0.125, 0.875)
Sb (0.250, 0.625, 0.375)
Sb (0.375, 0.250, 0.625)
Sb (0.375, 0.625, 0.750)
Sb (0.625, 0.375, 0.250)
Sb (0.625, 0.750, 0.375)
Sb (0.750, 0.375, 0.625)
Sb (0.750, 0.875, 0.125)
Sb (0.875, 0.125, 0.750)
Sb (0.875, 0.250, 0.125)
W (0.000, 0.000, 0.000)
W (0.000, 0.000, 0.500)
W (0.000, 0.500, 0.000)
W (0.000, 0.500, 0.500)
W (0.500, 0.000, 0.000)
W (0.500, 0.000, 0.500)
W (0.500, 0.500, 0.000)
W (0.500, 0.500, 0.500)
N (0.028, 0.201, 0.116)
N (0.028, 0.328, 0.912)
N (0.084, 0.701, 0.672)
N (0.084, 0.884, 0.412)
N (0.088, 0.616, 0.416)
N (0.088, 0.972, 0.672)
N (0.116, 0.028, 0.201)
N (0.116, 0.588, 0.916)
N (0.172, 0.201, 0.584)
N (0.172, 0.472, 0.588)
N (0.201, 0.116, 0.028)
N (0.201, 0.584, 0.172)
N (0.299, 0.328, 0.916)
N (0.299, 0.472, 0.384)
N (0.328, 0.912, 0.028)
N (0.328, 0.916, 0.299)
N (0.384, 0.299, 0.472)
N (0.384, 0.584, 0.912)
N (0.412, 0.084, 0.884)
N (0.412, 0.828, 0.528)
N (0.416, 0.088, 0.616)
N (0.416, 0.828, 0.799)
N (0.472, 0.384, 0.299)
N (0.472, 0.588, 0.172)
N (0.528, 0.412, 0.828)
N (0.528, 0.616, 0.701)
N (0.584, 0.172, 0.201)
N (0.584, 0.912, 0.384)
N (0.588, 0.172, 0.472)
N (0.588, 0.916, 0.116)
N (0.616, 0.416, 0.088)
N (0.616, 0.701, 0.528)
N (0.672, 0.084, 0.701)
N (0.672, 0.088, 0.972)
N (0.701, 0.528, 0.616)
N (0.701, 0.672, 0.084)
N (0.799, 0.416, 0.828)
N (0.799, 0.884, 0.972)
N (0.828, 0.528, 0.412)
N (0.828, 0.799, 0.416)
N (0.884, 0.412, 0.084)
N (0.884, 0.972, 0.799)
N (0.912, 0.028, 0.328)
N (0.912, 0.384, 0.584)
N (0.916, 0.116, 0.588)
N (0.916, 0.299, 0.328)
N (0.972, 0.672, 0.088)
N (0.972, 0.799, 0.884)

Calculated values
Electronic total energy, eV per atom: -7.959
Total magnetization, μB/f.u.: 0.0
Density, g/cm³: 8.5
Calculated volume, Å³/atom: 13.4

---

Record 2
The following is a DFT calculation (GGA-PBE) of a relaxed Gd2ScN3 crystal.

Cell: 3.407 3.407 8.332 Å, 90.00 90.00 120.00°
Fractional coordinates of all 6 atoms:
Gd (0.333, 0.667, 0.325)
Gd (0.667, 0.333, 0.675)
Sc (0.000, 0.000, 0.000)
N (0.000, 0.000, 0.500)
N (0.333, 0.667, 0.848)
N (0.667, 0.333, 0.152)

Calculated values
Electronic total energy, eV per atom: -8.422
Total magnetization, μB/f.u.: 0.0
Density, g/cm³: 8.0
Calculated volume, Å³/atom: 14.0

---

Record 3
The following is a DFT calculation (GGA-PBE) of a relaxed Gd3Se2N crystal.

Cell: 3.806 3.806 10.130 Å, 90.00 90.00 120.00°
Fractional coordinates of all 6 atoms:
Gd (0.000, 0.000, 0.000)
Gd (0.333, 0.667, 0.373)
Gd (0.667, 0.333, 0.627)
Se (0.333, 0.667, 0.818)
Se (0.667, 0.333, 0.182)
N (0.000, 0.000, 0.500)

Calculated values
Electronic total energy, eV per atom: -6.564
Total magnetization, μB/f.u.: 0.0
Density, g/cm³: 8.4
Calculated volume, Å³/atom: 21.2